Here is a relaxed SmEr7Th3 crystal from Alexandria. Energies are from PBE-GGA.

Unit cell a=8.5108 b=7.0356 c=7.0356 alpha=120.00 beta=90.00 gamma=90.00
Closest atoms and distances in Å follow each position.
Fractional positions:
Sm 0.4546 0.3333 0.6667  3 Th 3.47, 9 Er 3.52-3.53
Er 0.1141 0.1674 0.8326  2 Th 3.47, 8 Er 3.50-3.53, 1 Sm 3.53
Er 0.1141 0.1674 0.3348  2 Th 3.47, 8 Er 3.50-3.53, 1 Sm 3.53
Er 0.1131 0.6667 0.3333  3 Th 3.45, 9 Er 3.51-3.52
Er 0.4508 0.8320 0.1680  2 Th 3.48, 7 Er 3.49-3.55, 2 Sm 3.52
Er 0.4508 0.3360 0.1680  2 Th 3.48, 7 Er 3.49-3.55, 2 Sm 3.52
Er 0.4508 0.8320 0.6640  2 Th 3.48, 7 Er 3.49-3.55, 2 Sm 3.52
Er 0.1141 0.6652 0.8326  2 Th 3.47, 8 Er 3.50-3.53, 1 Sm 3.53
Th 0.7842 0.5009 0.4991  5 Er 3.45-3.48, 1 Sm 3.47, 4 Th 3.50-3.54
Th 0.7842 0.5009 0.0019  5 Er 3.45-3.48, 1 Sm 3.47, 4 Th 3.50-3.54
Th 0.7842 0.9981 0.4991  5 Er 3.45-3.48, 1 Sm 3.47, 4 Th 3.50-3.54

Output
VASP energy, eV/atom: -5.144
Formation energy, eV/f.u.: 2.335